Record 1
DFT (PBE) results for crystalline CsNaHg2Ir at its relaxed geometry.

Calculated values
**E_tot**: -2.2721 eV/atom
**Formation energy from the elements**: 0.28 eV/f.u.
**Size of the total moment**: 0.000 μB per atom

a b c (Å): 5.3786 5.3786 5.5403
angles (deg): 90.00 90.00 90.00
Closest atoms and distances in Å follow each position.
Space group P4/mmm (No. 123)
Asymmetric unit:
Cs1 0.0000 0.0000 0.0000 x1  4 Na 3.80, 8 Hg 3.86
Na1 0.5000 0.5000 0.0000 x1  2 Ir 2.77
Hg1 0.0000 0.5000 0.5000 x2  2 Ir 2.69
Ir1 0.5000 0.5000 0.5000 x1  4 Hg 2.69, 2 Na 2.77

=====

Record 2
DFT (PBE) results for crystalline Cs2NiHgIr at its relaxed geometry.

Calculated values
**E_tot**: -2.2133 eV/atom
**Formation energy from the elements**: 5.58 eV/f.u.
**Size of the total moment**: 0.038 μB per atom

a b c (Å): 7.0805 7.0805 5.1504
angles (deg): 90.00 90.00 90.00
Closest atoms and distances in Å follow each position.
Space group P4/mmm (No. 123)
Asymmetric unit:
Cs1 0.0000 0.5000 0.0000 x2  2 Hg 3.54
Ni1 0.0000 0.0000 0.5000 x1  8 Cs 4.38
Hg1 0.5000 0.5000 0.0000 x1  2 Ir 2.58
Ir1 0.5000 0.5000 0.5000 x1  2 Hg 2.58

=====

Record 3
DFT (PBE) results for crystalline Cs2Hg2IrO4 at its relaxed geometry.

Calculated values
**E_tot**: -4.1607 eV/atom
**Size of the total moment**: 0.230 μB per atom
**Uncorrected formation energy**: -6.44 eV/f.u.

a b c (Å): 7.1265 7.1265 8.3387
angles (deg): 90.00 90.00 90.00
Closest atoms and distances in Å follow each position.
Space group I4/mmm (No. 139)
Asymmetric unit:
Cs1 0.0000 0.5000 0.2500 x4  8 O 3.33, 4 Hg 3.64
Hg1 0.0000 0.0000 0.1636 x4  1 Hg 2.73, 1 Ir 2.80
Ir1 0.0000 0.0000 0.5000 x2  4 O 1.89
O1 0.1871 0.1871 0.5000 x8  1 Ir 1.89

=====

Record 4
DFT (PBE) results for crystalline CsHgIr2Os at its relaxed geometry.

Calculated values
**E_tot**: -4.9700 eV/atom
**Formation energy from the elements**: 5.26 eV/f.u.
**Size of the total moment**: 0.000 μB per atom

a b c (Å): 4.8446 4.8446 5.4885
angles (deg): 90.00 90.00 90.00
Closest atoms and distances in Å follow each position.
Space group P4/mmm (No. 123)
Asymmetric unit:
Cs1 0.0000 0.0000 0.0000 x1  4 Hg 3.43, 8 Ir 3.66
Hg1 0.5000 0.5000 0.0000 x1  2 Os 2.74
Ir1 0.0000 0.5000 0.5000 x2  2 Os 2.42
Os1 0.5000 0.5000 0.5000 x1  4 Ir 2.42

=====

Record 5
DFT (PBE) results for crystalline CsHg2IrPb at its relaxed geometry.

Calculated values
**E_tot**: -2.8536 eV/atom
**Formation energy from the elements**: -0.24 eV/f.u.
**Size of the total moment**: 0.000 μB per atom

a b c (Å): 5.5046 5.5046 5.2088
angles (deg): 90.00 90.00 90.00
Closest atoms and distances in Å follow each position.
Space group P4/mmm (No. 123)
Asymmetric unit:
Cs1 0.0000 0.0000 0.0000 x1  8 Hg 3.79, 4 Pb 3.89
Hg1 0.0000 0.5000 0.5000 x2  2 Ir 2.75
Ir1 0.5000 0.5000 0.5000 x1  2 Pb 2.60, 4 Hg 2.75
Pb1 0.5000 0.5000 0.0000 x1  2 Ir 2.60

=====

Record 6
DFT (PBE) results for crystalline CsHg2IrPt at its relaxed geometry.

Calculated values
**E_tot**: -3.0984 eV/atom
**Formation energy from the elements**: 0.87 eV/f.u.
**Size of the total moment**: 0.000 μB per atom

a b c (Å): 5.4110 5.4110 4.9721
angles (deg): 90.00 90.00 90.00
Closest atoms and distances in Å follow each position.
Space group P4/mmm (No. 123)
Asymmetric unit:
Cs1 0.0000 0.0000 0.0000 x1  8 Hg 3.67, 4 Pt 3.83
Hg1 0.0000 0.5000 0.5000 x2  2 Ir 2.71
Ir1 0.5000 0.5000 0.5000 x1  2 Pt 2.49, 4 Hg 2.71
Pt1 0.5000 0.5000 0.0000 x1  2 Ir 2.49

=====

Record 7
DFT (PBE) results for crystalline CsHg2SbIr at its relaxed geometry.

Calculated values
**E_tot**: -2.9612 eV/atom
**Size of the total moment**: 0.000 μB per atom
**Uncorrected formation energy**: -0.37 eV/f.u.

a b c (Å): 5.4756 5.4756 5.1472
angles (deg): 90.00 90.00 90.00
Closest atoms and distances in Å follow each position.
Space group P4/mmm (No. 123)
Asymmetric unit:
Cs1 0.0000 0.0000 0.0000 x1  8 Hg 3.76, 4 Sb 3.87
Hg1 0.0000 0.5000 0.5000 x2  2 Ir 2.74
Sb1 0.5000 0.5000 0.0000 x1  2 Ir 2.57
Ir1 0.5000 0.5000 0.5000 x1  2 Sb 2.57, 4 Hg 2.74

=====

Record 8
DFT (PBE) results for crystalline CsHg2TeIr at its relaxed geometry.

Calculated values
**E_tot**: -2.8405 eV/atom
**Size of the total moment**: 0.000 μB per atom
**Uncorrected formation energy**: -0.74 eV/f.u.

a b c (Å): 5.4485 5.4485 5.3123
angles (deg): 90.00 90.00 90.00
Closest atoms and distances in Å follow each position.
Space group P4/mmm (No. 123)
Asymmetric unit:
Cs1 0.0000 0.0000 0.0000 x1  8 Hg 3.80, 4 Te 3.85
Hg1 0.0000 0.5000 0.5000 x2  2 Ir 2.72
Te1 0.5000 0.5000 0.0000 x1  2 Ir 2.66
Ir1 0.5000 0.5000 0.5000 x1  2 Te 2.66, 4 Hg 2.72